[1]
{"formula": "KFe2NiF8", "functional": "PBE with a Hubbard U", "state": "optimized geometry", "density_g_cm3": 3.65, "final_energy_ev_per_cell": -58.4, "lattice_angstrom": [[-0.657, 0.670, 4.927], [4.850, -0.752, 1.020], [1.150, 6.414, -0.713]], "species": ["F", "F", "F", "F", "F", "F", "F", "F", "Ni", "Fe", "Fe", "K"], "frac_coords": [[0.216, 0.779, 0.204], [0.784, 0.221, 0.796], [0.700, 0.703, 0.000], [0.300, 0.297, 0.000], [0.342, 0.335, 0.500], [0.658, 0.665, 0.500], [0.216, 0.780, 0.796], [0.784, 0.220, 0.204], [0.000, 0.000, 0.000], [0.500, 0.500, 0.763], [0.500, 0.500, 0.237], [0.000, 0.000, 0.500]]}


[2]
{"formula": "KFePbOF6", "functional": "PBE with a Hubbard U", "state": "optimized geometry", "density_g_cm3": 4.19, "final_energy_ev_per_cell": -98.8, "lattice_angstrom": [[6.170, -0.010, 0.020], [0.148, 6.170, -0.030], [0.094, 0.232, 8.992]], "species": ["K", "K", "F", "F", "F", "F", "F", "F", "F", "F", "F", "F", "F", "F", "Fe", "Fe", "Pb", "Pb", "O", "O"], "frac_coords": [[0.758, 0.239, 0.000], [0.242, 0.761, 0.000], [0.482, 0.484, 0.807], [0.748, 0.754, 0.995], [0.028, 0.487, 0.797], [0.482, 0.030, 0.791], [0.033, 0.039, 0.795], [0.287, 0.299, 0.570], [0.252, 0.246, 0.005], [0.967, 0.961, 0.205], [0.713, 0.701, 0.430], [0.518, 0.970, 0.209], [0.972, 0.513, 0.203], [0.518, 0.516, 0.193], [0.743, 0.739, 0.221], [0.257, 0.261, 0.779], [0.740, 0.742, 0.724], [0.260, 0.258, 0.276], [0.928, 0.071, 0.499], [0.072, 0.929, 0.501]]}


[3]
{"formula": "K2FePbF6", "functional": "PBE with a Hubbard U", "state": "optimized geometry", "density_g_cm3": 4.34, "final_energy_ev_per_cell": -97.0, "lattice_angstrom": [[6.228, 0.000, -0.056], [0.000, 6.381, 0.000], [-0.029, 0.000, 8.759]], "species": ["K", "K", "K", "K", "Fe", "Fe", "F", "F", "F", "F", "F", "F", "F", "F", "F", "F", "F", "F", "Pb", "Pb"], "frac_coords": [[0.514, 0.545, 0.749], [0.486, 0.455, 0.251], [0.986, 0.045, 0.751], [0.014, 0.955, 0.249], [0.000, 0.500, 0.000], [0.500, 0.000, 0.500], [0.724, 0.309, 0.957], [0.688, 0.276, 0.550], [0.188, 0.224, 0.050], [0.276, 0.691, 0.043], [0.812, 0.776, 0.950], [0.911, 0.529, 0.225], [0.089, 0.471, 0.775], [0.224, 0.191, 0.457], [0.776, 0.809, 0.543], [0.411, 0.971, 0.725], [0.589, 0.029, 0.275], [0.312, 0.724, 0.450], [0.000, 0.500, 0.500], [0.500, 0.000, 0.000]]}